Record 1
Density functional theory data (PBE) for an optimized crystal structure of ThAs2Rh4.

The structure in POSCAR format:
```
ThAs2Rh4
1.0
4.1642 0.0000 0.0000
0.0000 6.8152 -0.0001
0.0000 -0.0003 16.9925
Rh As Th
16 8 4
Cartesian
1.0411 4.2798 11.4695
3.1232 0.8729 14.0194
1.0411 3.3840 7.3820
1.0411 1.8933 3.6445
1.0411 0.0229 15.8780
1.0411 1.5138 12.1407
3.1232 4.9216 13.3479
3.1232 3.4309 9.6104
3.1232 5.9084 7.9804
1.0411 2.5009 0.5153
3.1232 6.7920 1.1144
1.0411 0.9064 9.0120
3.1232 2.5350 5.5229
1.0411 5.9420 2.9731
3.1232 4.3140 16.4771
3.1232 5.3010 4.8517
1.0411 5.1692 0.6357
3.1232 2.8410 12.0171
1.0411 6.2484 13.4709
1.0411 5.0538 9.1317
3.1232 1.6456 16.3567
1.0411 3.9739 4.9753
3.1232 0.5664 3.5216
3.1232 1.7610 7.8607
1.0411 3.2160 14.5774
3.1232 3.5988 2.4150
1.0411 0.1913 6.0813
3.1232 6.6236 10.9111
```

Values from the calculation:
total magnetic moment = 0.0 μB per formula unit
E_form = -0.708 eV per atom

***

Record 2
Density functional theory data (PBE) for an optimized crystal structure of Th2TiAs4Rh3.

The structure in POSCAR format:
```
Th2TiAs4Rh3
1.0
4.3244 0.0000 0.0000
0.0000 4.3244 0.0000
0.0000 0.0000 10.1613
Ti Rh As Th
1 3 4 2
Cartesian
2.1622 2.1622 5.0806
0.0000 0.0000 5.0806
2.1622 0.0000 8.9628
0.0000 2.1622 1.1985
0.0000 0.0000 0.0000
0.0000 2.1622 3.6665
2.1622 0.0000 6.4948
2.1622 2.1622 0.0000
2.1622 0.0000 2.4193
0.0000 2.1622 7.7420
```

Values from the calculation:
total magnetic moment = 0.8 μB per formula unit
E_form = -0.927 eV per atom

***

Record 3
Density functional theory data (PBE) for an optimized crystal structure of TmTh2As3Rh4.

The structure in POSCAR format:
```
TmTh2As3Rh4
1.0
-3.1105 -1.2796 -2.4022
-0.7855 -3.0706 2.6528
-7.2107 6.7875 5.7212
Th As Rh Tm
2 3 4 1
Cartesian
-3.1626 0.8732 0.0742
-5.9961 3.7392 5.7723
-7.8365 5.2728 3.7827
-3.6054 3.3937 2.8606
-1.3221 -0.6604 2.0638
-2.8578 0.7851 3.2823
0.0000 0.0000 0.0000
-1.9480 -2.1751 0.1253
-6.3009 3.8273 2.5643
-5.5533 1.2186 2.9859
```

Values from the calculation:
total magnetic moment = 0.0 μB per formula unit
E_form = -0.984 eV per atom

***

Record 4
Density functional theory data (PBE) for an optimized crystal structure of TmTh2As2Rh7.

The structure in POSCAR format:
```
TmTh2As2Rh7
1.0
-3.1165 -0.7449 2.5151
-1.0874 -3.2226 -2.2418
6.3318 -9.2146 7.5005
Rh As Th Tm
7 2 2 1
Cartesian
1.3334 -5.3553 3.3582
-2.4491 -3.5645 2.5421
3.5613 -8.3773 7.6128
-2.1019 -1.9837 0.1366
0.7945 -7.8268 4.4156
-1.4334 -4.8048 0.1610
4.5770 -9.6175 5.2317
2.2560 -9.2278 5.7688
-0.1281 -3.9543 2.0050
3.6333 -6.4825 4.9263
-1.5054 -6.6996 2.8474
0.0000 0.0000 0.0000
```

Values from the calculation:
total magnetic moment = 0.0 μB per formula unit
E_form = -0.825 eV per atom

***

Record 5
Density functional theory data (PBE) for an optimized crystal structure of ThUAs2Rh5.

The structure in POSCAR format:
```
ThUAs2Rh5
1.0
-3.9658 -0.3905 -0.3005
-0.1756 -1.1574 3.8210
-1.3192 10.9020 3.2417
Rh As Th U
5 2 1 1
Cartesian
-3.0931 8.9793 2.5778
-0.6596 5.4510 1.6209
-1.1980 8.5958 4.6385
-2.1919 1.5322 0.3634
-0.2968 1.1488 2.4242
-0.9358 7.7332 2.2995
-0.3835 3.1688 0.9423
-2.7303 4.6770 3.3811
0.0000 0.0000 0.0000
```

Values from the calculation:
total magnetic moment = 0.0 μB per formula unit
E_form = -0.435 eV per atom

***

Record 6
Density functional theory data (PBE) for an optimized crystal structure of YThAs2Rh5.

The structure in POSCAR format:
```
YThAs2Rh5
1.0
-3.3567 0.3344 2.2215
1.2885 -2.9852 2.3963
5.2592 7.7164 6.7848
Rh Y As Th
5 1 2 1
Cartesian
-0.7331 1.5541 2.3302
2.6296 3.8582 3.3924
2.6356 6.4968 6.6762
4.9582 4.8369 6.7636
1.5895 -0.1058 2.4176
1.5955 2.5328 5.7013
3.7080 5.4404 4.7836
1.5512 2.2760 2.0012
0.0000 0.0000 0.0000
```

Values from the calculation:
total magnetic moment = 0.0 μB per formula unit
E_form = -0.478 eV per atom

***

Record 7
Density functional theory data (PBE) for an optimized crystal structure of ThZnAs2Rh5.

The structure in POSCAR format:
```
ThZnAs2Rh5
1.0
4.2024 0.0000 0.0000
0.0000 4.2024 0.0000
0.0000 0.0000 8.4658
Zn As Rh Th
1 2 5 1
Cartesian
0.0000 0.0000 4.2329
2.1012 2.1012 7.1851
2.1012 2.1012 1.2807
0.0000 2.1012 2.4547
2.1012 0.0000 6.0112
2.1012 0.0000 2.4547
0.0000 2.1012 6.0112
2.1012 2.1012 4.2329
0.0000 0.0000 0.0000
```

Values from the calculation:
total magnetic moment = 0.0 μB per formula unit
E_form = -0.581 eV per atom

***

Record 8
Density functional theory data (PBE) for an optimized crystal structure of ThZnAsRh3.

The structure in POSCAR format:
```
ThZnAsRh3
1.0
-5.3555 -1.5655 1.6520
1.2625 -6.0971 -1.6851
1.3715 1.9553 6.2989
Rh Zn Th As
6 2 2 2
Cartesian
-2.3114 -2.5520 0.3370
-2.0696 -4.9410 3.9813
-1.7816 -5.1106 -0.3701
0.8962 -4.3278 -1.1961
-0.6519 -0.7664 2.2846
0.3664 -1.7693 -0.4890
1.0825 -4.4172 4.4477
-3.8041 -1.2902 1.8182
0.0801 -3.8699 1.7166
-2.8016 -1.8374 4.5494
-2.8728 -4.5025 1.7931
0.1512 -1.2048 4.4728
```

Values from the calculation:
total magnetic moment = 0.0 μB per formula unit
E_form = -0.526 eV per atom

***

Record 9
Density functional theory data (PBE) for an optimized crystal structure of TiAsRh.

The structure in POSCAR format:
```
TiAsRh
1.0
3.8452 0.0000 0.0000
0.0000 6.3758 0.0000
0.0000 0.0000 7.4563
Ti As Rh
4 4 4
Cartesian
2.8839 0.2048 5.0855
0.9613 6.1710 2.3709
2.8839 3.3927 6.0991
0.9613 2.9831 1.3573
2.8839 1.5810 2.8200
2.8839 4.7689 0.9082
0.9613 4.7947 4.6364
0.9613 1.6068 6.5481
2.8839 0.9179 0.4758
0.9613 2.2700 4.2040
2.8839 4.1058 3.2524
0.9613 5.4579 6.9805
```

Values from the calculation:
total magnetic moment = 0.0 μB per formula unit
E_form = -0.884 eV per atom

***

Record 10
Density functional theory data (PBE) for an optimized crystal structure of TiAs3Rh.

The structure in POSCAR format:
```
TiAs3Rh
1.0
4.7808 0.0000 0.0000
0.0000 4.7808 0.0000
0.0000 0.0000 4.7808
As Rh Ti
3 1 1
Cartesian
0.0000 2.3904 0.0000
0.0000 0.0000 2.3904
2.3904 0.0000 0.0000
2.3904 2.3904 2.3904
0.0000 0.0000 0.0000
```

Values from the calculation:
total magnetic moment = 0.0 μB per formula unit
E_form = 0.499 eV per atom
relative energy among the computed polymorphs = 0 meV/atom

***

Record 11
Density functional theory data (PBE) for an optimized crystal structure of Ti2AsRh.

The structure in POSCAR format:
```
Ti2AsRh
1.0
6.9292 0.0000 0.0000
0.0000 6.9292 0.0000
3.4646 3.4646 2.7677
Rh Ti As
2 4 2
Cartesian
6.9292 3.4646 1.3838
0.0000 0.0000 0.0000
5.2405 1.7323 0.6919
8.6615 8.7051 2.0758
1.6888 5.1969 0.6919
5.1969 5.1534 2.0758
3.4646 3.4646 0.0000
3.4646 6.9292 1.3838
```

Values from the calculation:
total magnetic moment = 0.0 μB per formula unit
E_form = -0.398 eV per atom

***

Record 12
Density functional theory data (PBE) for an optimized crystal structure of TiAs2Rh.

The structure in POSCAR format:
```
TiAs2Rh
1.0
-3.6159 -1.2982 -0.2159
-0.6820 -3.6159 -1.1256
-1.1524 -3.2539 4.5740
As Ti Rh
2 1 1
Cartesian
-4.0841 -6.1468 2.4891
-1.3662 -2.0212 0.7434
-2.7251 -4.0840 1.6162
0.0000 0.0000 0.0000
```

Values from the calculation:
total magnetic moment = 0.0 μB per formula unit
E_form = -0.420 eV per atom

***

Record 13
Density functional theory data (PBE) for an optimized crystal structure of TiAs2Rh2.

The structure in POSCAR format:
```
TiAs2Rh2
1.0
-0.2961 0.0441 7.2242
-2.3941 -6.8222 -0.0565
2.8125 -0.9880 0.1213
Ti Rh As
2 4 4
Cartesian
0.0000 0.0000 0.0000
-1.3451 -3.3891 3.5838
0.3053 -2.8728 6.2116
-0.8300 -6.2931 4.6777
-0.1830 -4.8933 1.0774
0.9523 -1.4730 2.6113
-2.1223 -5.7424 2.4371
-1.8205 -4.4385 6.0598
-0.5678 -1.0357 4.7306
-0.8697 -2.3396 1.1079
```

Values from the calculation:
total magnetic moment = 0.0 μB per formula unit
E_form = -0.360 eV per atom

***

Record 14
Density functional theory data (PBE) for an optimized crystal structure of TiAs2Rh.

The structure in POSCAR format:
```
TiAs2Rh
1.0
-1.5534 0.2571 3.8070
-3.0417 -2.5652 -1.0679
2.3493 -7.6354 3.7033
Rh As Ti
2 4 2
Cartesian
0.0000 0.0000 0.0000
-0.7508 -4.2662 4.4400
0.0848 -6.5533 3.8208
-1.4844 -3.4839 0.6767
-0.7873 -2.0649 3.2293
-2.3047 -7.7850 5.1581
-2.2975 -1.1541 1.3696
-1.4950 -5.6773 2.0025
```

Values from the calculation:
total magnetic moment = 0.0 μB per formula unit
E_form = -0.328 eV per atom

***

Record 15
Density functional theory data (PBE) for an optimized crystal structure of TiAs2Rh.

The structure in POSCAR format:
```
TiAs2Rh
1.0
0.0000 3.1521 3.1521
3.1521 0.0000 3.1521
3.1521 3.1521 0.0000
As Ti Rh
2 1 1
Cartesian
1.5760 1.5760 1.5760
4.7281 4.7281 4.7281
0.0000 0.0000 0.0000
3.1521 3.1521 3.1521
```

Values from the calculation:
total magnetic moment = 0.0 μB per formula unit
E_form = -0.411 eV per atom

***

Record 16
Density functional theory data (PBE) for an optimized crystal structure of Ti4AsRh.

The structure in POSCAR format:
```
Ti4AsRh
1.0
6.6013 -0.0008 0.0004
0.0009 5.2553 -0.2712
-3.3016 -2.4257 6.7217
Rh Ti As
2 8 2
Cartesian
1.6498 -1.2132 3.3610
-1.6504 1.4148 3.2252
-0.1732 0.3416 4.9592
4.0049 -1.3920 4.2730
0.7051 1.5929 2.3132
3.1275 -0.1402 1.6273
2.5954 1.2359 4.1377
-0.7044 4.2207 2.1778
0.1730 2.9690 4.8235
3.4737 2.4872 1.4916
-1.6100 -1.1123 6.6540
4.9105 3.9411 -0.2031
```

Values from the calculation:
total magnetic moment = 0.0 μB per formula unit
E_form = -0.351 eV per atom

***

Record 17
Density functional theory data (PBE) for an optimized crystal structure of TiAsRh2.

The structure in POSCAR format:
```
TiAsRh2
1.0
5.2031 0.0000 0.0000
0.0000 5.2031 0.0000
2.6016 2.6016 6.1177
Rh Ti As
4 2 2
Cartesian
6.5039 6.5312 4.5883
1.2735 3.9023 1.5294
3.9296 1.3008 1.5294
3.9023 3.8751 4.5883
2.6016 2.6016 0.0000
2.6016 5.2031 3.0588
0.0000 0.0000 0.0000
5.2031 2.6016 3.0588
```

Values from the calculation:
total magnetic moment = 0.0 μB per formula unit
E_form = -0.064 eV per atom

***

Record 18
Density functional theory data (PBE) for an optimized crystal structure of TiAsRh.

The structure in POSCAR format:
```
TiAsRh
1.0
-0.6318 -1.0780 2.5397
2.3240 -1.6122 -0.1062
2.7057 6.2691 1.7568
Ti As Rh
1 1 1
Cartesian
0.8939 1.2393 0.7484
2.7113 1.2408 2.7783
4.1249 3.2005 3.9618
```

Values from the calculation:
total magnetic moment = 0.0 μB per formula unit
E_form = 0.048 eV per atom

***

Record 19
Density functional theory data (PBE) for an optimized crystal structure of TiAsRh2.

The structure in POSCAR format:
```
TiAsRh2
1.0
3.7781 0.0000 0.0000
0.0000 3.9523 0.0000
0.0000 0.0000 3.9523
As Rh Ti
1 2 1
Cartesian
1.8890 1.9761 1.9761
0.0000 0.0000 1.9761
0.0000 1.9761 0.0000
1.8890 0.0000 0.0000
```

Values from the calculation:
total magnetic moment = 0.0 μB per formula unit
E_form = -0.561 eV per atom

***

Record 20
Density functional theory data (PBE) for an optimized crystal structure of Y2TiAsRh.

The structure in POSCAR format:
```
Y2TiAsRh
1.0
-0.1665 2.6239 4.6816
-3.4272 -2.4484 1.2504
3.3556 -3.6044 2.1395
Y Ti As Rh
2 1 1 1
Cartesian
1.6778 -1.8022 1.0698
-0.0833 1.3119 2.3408
0.0000 0.0000 0.0000
-0.1191 -1.7145 4.0357
-1.7136 -1.2242 0.6252
```

Values from the calculation:
total magnetic moment = 0.0 μB per formula unit
E_form = 0.228 eV per atom

***

Record 21
Density functional theory data (PBE) for an optimized crystal structure of Y2TiAs3Rh4.

The structure in POSCAR format:
```
Y2TiAs3Rh4
1.0
-0.2573 -4.0194 0.4198
2.6252 0.1536 3.0793
-8.2754 1.2601 6.9923
As Ti Rh Y
3 1 4 2
Cartesian
0.1662 0.2513 2.5083
-4.1377 0.6300 3.4962
-7.2576 -0.9242 6.2335
-2.9537 -1.3029 5.2457
1.1840 -1.9329 1.7496
-5.4180 -1.2043 4.6791
-1.6734 0.5315 4.0627
0.0000 0.0000 0.0000
-2.0388 -1.7188 1.8238
-5.0527 1.0460 6.9180
```

Values from the calculation:
total magnetic moment = 0.0 μB per formula unit
E_form = -0.954 eV per atom

***

Record 22
Density functional theory data (PBE) for an optimized crystal structure of TlAs2Rh.

The structure in POSCAR format:
```
TlAs2Rh
1.0
-4.1382 6.6930 4.9092
-5.1464 3.0271 7.0973
6.4273 -4.7200 -4.7364
As Tl Rh
2 1 1
Cartesian
-0.2042 0.2138 0.2640
-2.5182 2.4603 5.2650
-0.6163 2.8300 2.3635
-4.1610 4.3562 5.3808
```

Values from the calculation:
total magnetic moment = 0.0 μB per formula unit
E_form = -0.092 eV per atom
relative energy among the computed polymorphs = 61 meV/atom

***

Record 23
Density functional theory data (PBE) for an optimized crystal structure of Tl2AsRh.

The structure in POSCAR format:
```
Tl2AsRh
1.0
7.4680 -0.3483 -0.7707
4.7035 4.6317 -0.7818
-5.8992 -3.1668 3.4234
Tl As Rh
2 1 1
Cartesian
3.8758 -0.8670 0.6697
0.5673 0.2640 0.0163
5.0541 2.0077 -0.3436
2.8609 1.8536 0.7522
```

Values from the calculation:
total magnetic moment = 0.0 μB per formula unit
E_form = -0.040 eV per atom
relative energy among the computed polymorphs = 53 meV/atom

***

Record 24
Density functional theory data (PBE) for an optimized crystal structure of TlAs2Rh.

The structure in POSCAR format:
```
TlAs2Rh
1.0
-5.2478 -3.0674 0.5691
-2.6262 -3.0593 -4.5843
4.6344 0.9544 3.8579
As Tl Rh
2 1 1
Cartesian
-3.5297 -2.7464 -1.7999
-0.4073 -0.3169 -0.2077
-2.2752 -2.5882 1.2097
-0.9644 -2.5841 -1.3670
```

Values from the calculation:
total magnetic moment = 0.0 μB per formula unit
E_form = 0.055 eV per atom
relative energy among the computed polymorphs = 209 meV/atom